SmNb2Si2As (PBE, optimized geometry); total energy = -7.079 eV per atom; space group = No. 99
1.0
3.964 0.000 0.000
0.000 3.964 0.000
0.000 0.000 7.959
Sm Nb Si As
1 2 2 1
Direct
0.000 0.000 0.000
0.000 0.500 0.636
0.500 0.000 0.636
0.000 0.000 0.386
0.500 0.500 0.867
0.500 0.500 0.369



TmNb2Si2As (PBE, optimized geometry); total energy = -7.016 eV per atom; space group = No. 99
1.0
3.945 0.000 0.000
0.000 3.945 0.000
0.000 0.000 7.735
Tm Nb Si As
1 2 2 1
Direct
0.000 0.000 0.000
0.000 0.500 0.358
0.500 0.000 0.358
0.000 0.000 0.616
0.500 0.500 0.116
0.500 0.500 0.632



YNb2Si2As (PBE, optimized geometry); total energy = -7.370 eV per atom; space group = No. 99
1.0
3.951 0.000 0.000
0.000 3.951 0.000
0.000 0.000 7.817
Y Nb Si As
1 2 2 1
Direct
0.000 0.000 0.000
0.000 0.500 0.360
0.500 0.000 0.360
0.000 0.000 0.615
0.500 0.500 0.123
0.500 0.500 0.632



SmNbAs (PBE, optimized geometry); space group = No. 216; energy relative to the lowest polymorph listed for this composition = 0.000 eV per atom
1.0
6.557 0.000 0.000
0.000 6.557 0.000
0.000 0.000 6.557
Sm Nb As
4 4 4
Direct
0.000 0.000 0.000
0.000 0.500 0.500
0.500 0.000 0.500
0.500 0.500 0.000
0.000 0.000 0.500
0.000 0.500 0.000
0.500 0.000 0.000
0.500 0.500 0.500
0.250 0.250 0.750
0.250 0.750 0.250
0.750 0.250 0.250
0.750 0.750 0.750



SmNbAs (PBE, optimized geometry); space group = No. 216; energy relative to the lowest polymorph listed for this composition = 0.987 eV per atom
1.0
6.936 0.000 0.000
0.000 6.936 0.000
0.000 0.000 6.936
Sm Nb As
4 4 4
Direct
0.000 0.000 0.000
0.000 0.500 0.500
0.500 0.000 0.500
0.500 0.500 0.000
0.250 0.250 0.250
0.250 0.750 0.750
0.750 0.250 0.750
0.750 0.750 0.250
0.250 0.250 0.750
0.250 0.750 0.250
0.750 0.250 0.250
0.750 0.750 0.750



NbSnAs (PBE, optimized geometry); total energy = -5.866 eV per atom; space group = No. 216
1.0
6.451 0.000 0.000
0.000 6.451 0.000
0.000 0.000 6.451
Nb Sn As
4 4 4
Direct
0.000 0.000 0.000
0.000 0.500 0.500
0.500 0.000 0.500
0.500 0.500 0.000
0.000 0.000 0.500
0.000 0.500 0.000
0.500 0.000 0.000
0.500 0.500 0.500
0.250 0.250 0.250
0.250 0.750 0.750
0.750 0.250 0.750
0.750 0.750 0.250